DFT (GGA-PBE) results for a relaxed LiLaCd2Ag4 crystal.

Properties
**Space-group type**: R-3m
**E**: -21.75 eV/f.u.
**Calculated formation energy**: -209 meV/atom

Cell and atoms, written as POSCAR:
```
LiLaCd2Ag4
1.0
4.8310 0.0000 0.0000
2.4155 4.1837 0.0000
2.4155 1.3946 8.4135
La Ag Li Cd
1 4 1 2
direct
0.0000 0.0000 0.0000
0.1302 0.1302 0.6093
0.8698 0.8698 0.3907
0.6033 0.6033 0.1900
0.3967 0.3967 0.8100
0.5000 0.5000 0.5000
0.2462 0.2462 0.2613
0.7538 0.7538 0.7387
```